# NiHRu

A relaxed NiHRu crystal (GGA-PBE, the Alexandria database).

Structure (CIF):
```
data_NiHRu
_space_group_name_H-M_alt 'P m n 21'
_space_group_IT_number 31
_space_group_name_Hall 'P 2ac -2'
_cell_length_a 2.6992
_cell_length_b 4.6234
_cell_length_c 4.3643
_cell_angle_alpha 90.00
_cell_angle_beta 90.00
_cell_angle_gamma 90.00
loop_
_atom_site_label
_atom_site_fract_x
_atom_site_fract_y
_atom_site_fract_z
Ni1 0.0000 0.0829 0.0000
H1 0.0000 0.7900 0.7310
Ru1 0.0000 0.4154 0.5038
```

The total energy is -6.05 eV/atom. As for the excess energy over the best structure of this formula in the dataset: 46 meV per atom.